Record 1
The following is a DFT calculation (PBEsol) of a geometry-optimized CrOsPb2 structure.

## Properties
As for the space-group type: Fm-3m (225). Its excess energy over the best structure of this formula in the dataset is 0.4346 eV per atom. The calculated density is 14.49 g/cm3. As for the formation energy: 3.40 eV/f.u. The value obtained for the electronic total energy is -6.76 eV per atom.

a = 4.738 Å, b = 4.738 Å, c = 4.738 Å
α = 60.00°, β = 60.00°, γ = 60.00°
Each line ends with the local moment (μB).
Element x y z (fractional)
Os  0.500  0.500  0.500  0.01
Pb  0.250  0.250  0.250  -0.05
Pb  0.750  0.750  0.750  -0.05
Cr  0.000  0.000  0.000  3.40

---

Record 2
The following is a DFT calculation (PBEsol) of a geometry-optimized CuRh2 structure.

## Properties
As for the space-group type: Cm (8). Its excess energy over the best structure of this formula in the dataset is 0.0334 eV per atom. The calculated density is 11.50 g/cm3. As for the formation energy: 0.27 eV/f.u. The value obtained for the electronic total energy is -6.78 eV per atom.

a = 2.648 Å, b = 5.021 Å, c = 6.274 Å
α = 104.29°, β = 90.00°, γ = 105.29°
Element x y z (fractional)
Rh  0.387  0.775  0.280
Rh  0.055  0.110  0.613
Rh  0.727  0.455  0.947
Rh  0.331  0.662  0.663
Cu  0.662  0.323  0.325
Cu  0.004  0.008  0.005

---

Record 3
The following is a DFT calculation (PBEsol) of a geometry-optimized LaSc2Cd structure.

## Properties
As for the space-group type: P4/mmm (123). The calculated density is 5.78 g/cm3. As for the formation energy: -0.49 eV/f.u. The value obtained for the electronic total energy is -5.06 eV per atom.

a = 3.496 Å, b = 3.496 Å, c = 8.021 Å
α = 90.00°, β = 90.00°, γ = 90.00°
Element x y z (fractional)
Sc  0.000  0.000  0.785
Sc  0.000  0.000  0.215
La  0.500  0.500  0.500
Cd  0.500  0.500  0.000

---

What did the first record say?
The following is a DFT calculation (PBEsol) of a geometry-optimized CrOsPb2 structure.

## Properties
As for the space-group type: Fm-3m (225). Its excess energy over the best structure of this formula in the dataset is 0.4346 eV per atom. The calculated density is 14.49 g/cm3. As for the formation energy: 3.40 eV/f.u. The value obtained for the electronic total energy is -6.76 eV per atom.

a = 4.738 Å, b = 4.738 Å, c = 4.738 Å
α = 60.00°, β = 60.00°, γ = 60.00°
Each line ends with the local moment (μB).
Element x y z (fractional)
Os  0.500  0.500  0.500  0.01
Pb  0.250  0.250  0.250  -0.05
Pb  0.750  0.750  0.750  -0.05
Cr  0.000  0.000  0.000  3.40

---

Repeat the first record exactly.
The following is a DFT calculation (PBEsol) of a geometry-optimized CrOsPb2 structure.

## Properties
As for the space-group type: Fm-3m (225). Its excess energy over the best structure of this formula in the dataset is 0.4346 eV per atom. The calculated density is 14.49 g/cm3. As for the formation energy: 3.40 eV/f.u. The value obtained for the electronic total energy is -6.76 eV per atom.

a = 4.738 Å, b = 4.738 Å, c = 4.738 Å
α = 60.00°, β = 60.00°, γ = 60.00°
Each line ends with the local moment (μB).
Element x y z (fractional)
Os  0.500  0.500  0.500  0.01
Pb  0.250  0.250  0.250  -0.05
Pb  0.750  0.750  0.750  -0.05
Cr  0.000  0.000  0.000  3.40

---

Question: Among the records above, which one has the highest electronic total energy?
Answer: LaSc2Cd

---

Question: calculated density of number 1 (CrOsPb2)?
Answer: 14.49 g/cm3